Compound: Mg3CdB
Source: Alexandria
Functional: PBE
Structure: optimized geometry

Values from the calculation:
DOS at the Fermi energy ... 0.689 states/eV per atom
Total energy ... -1.2993 eV per atom
Relative energy among the computed polymorphs ... 1029.2 meV per atom

Cell lengths 5.158, 5.158, 5.158 Å; angles 90.00, 90.00, 90.00 degrees
Sites, in units of the cell vectors:
B 0.500 0.500 0.500
Mg 0.000 0.500 0.000
Mg 0.500 0.000 0.000
Mg 0.000 0.000 0.500
Cd 0.000 0.000 0.000


Compound: MgCdB
Source: Alexandria
Functional: PBE
Structure: optimized geometry

Values from the calculation:
DOS at the Fermi energy ... 0.315 states/eV per atom
Total energy ... -2.9101 eV per atom
Relative energy among the computed polymorphs ... 225.0 meV per atom

Cell lengths 5.445, 3.120, 6.501 Å; angles 90.00, 97.48, 90.00 degrees
Sites, in units of the cell vectors:
Mg 0.607 0.000 0.034
Cd 0.252 0.000 0.613
Mg 0.730 0.500 0.612
B 0.856 0.500 0.279
Cd 0.125 0.500 0.010
B 0.887 0.000 0.346


Compound: MgCdB
Source: Alexandria
Functional: PBE
Structure: optimized geometry

Values from the calculation:
DOS at the Fermi energy ... 0.301 states/eV per atom
Total energy ... -2.9069 eV per atom
Relative energy among the computed polymorphs ... 228.2 meV per atom

Cell lengths 6.281, 3.101, 12.749 Å; angles 90.00, 118.14, 90.00 degrees
Sites, in units of the cell vectors:
B 0.173 0.000 0.440
Cd 0.716 0.500 0.082
Cd 0.220 0.500 0.630
Mg 0.764 0.000 0.301
B 0.099 0.500 0.422
Mg 0.764 0.500 0.801
Cd 0.716 0.000 0.582
Cd 0.220 0.000 0.130
B 0.173 0.500 0.940
Mg 0.381 0.500 0.354
B 0.099 0.000 0.922
Mg 0.381 0.000 0.854


Compound: MgCdB3
Source: Alexandria
Functional: PBE
Structure: optimized geometry

Values from the calculation:
DOS at the Fermi energy ... 0.442 states/eV per atom
Total energy ... -2.4234 eV per atom
Relative energy among the computed polymorphs ... 0.0 meV per atom

Cell lengths 4.416, 4.416, 4.416 Å; angles 90.00, 90.00, 90.00 degrees
Sites, in units of the cell vectors:
B 0.000 0.000 0.500
B 0.500 0.000 0.000
Mg 0.500 0.500 0.500
B 0.000 0.500 0.000
Cd 0.000 0.000 0.000


Compound: MgCdB
Source: Alexandria
Functional: PBE
Structure: optimized geometry

Values from the calculation:
DOS at the Fermi energy ... 0.170 states/eV per atom
Total energy ... -2.7560 eV per atom
Relative energy among the computed polymorphs ... 379.1 meV per atom

Cell lengths 4.448, 4.471, 5.557 Å; angles 107.81, 99.91, 92.17 degrees
Sites, in units of the cell vectors:
B 0.000 0.900 0.188
Cd 0.200 0.098 0.844
Mg 0.030 0.460 0.368
Mg 0.551 0.957 0.375
B 0.158 0.635 0.997
Cd 0.619 0.598 0.770


Compound: MgCdB
Source: Alexandria
Functional: PBE
Structure: optimized geometry

Values from the calculation:
DOS at the Fermi energy ... 0.313 states/eV per atom
Total energy ... -3.1351 eV per atom
Relative energy among the computed polymorphs ... 0.0 meV per atom

Cell lengths 10.931, 3.166, 5.477 Å; angles 90.00, 100.22, 90.00 degrees
Sites, in units of the cell vectors:
Mg 0.641 0.500 0.411
Cd 0.176 0.000 0.754
B 0.794 0.000 0.298
B 0.794 0.000 0.630
Cd 0.413 0.000 0.497
Cd 0.413 0.500 0.997
Cd 0.176 0.500 0.254
B 0.794 0.500 0.798
Mg 0.641 0.000 0.911
Mg 0.946 0.000 0.017
B 0.794 0.500 0.130
Mg 0.946 0.500 0.517